VASP calculation (GGA-PBE) on a geometry-optimized Cu3Ag4 structure.

Summary:
energy relative to the elements = 0.093 eV per atom
ΔE to the lowest computed polymorph = 0.0513 eV per atom
E_tot = -21.80 eV/cell

Unit cell a=4.8584 b=4.8584 c=8.1881 alpha=93.63 beta=93.63 gamma=33.93
Closest atoms and distances in Å follow each position.
Fractional coordinates of all 7 atoms:
Ag: 0.7881 0.7881 0.1469  5 Cu 2.77-2.86, 7 Ag 2.78-2.86
Ag: 0.0646 0.0646 0.2982  7 Cu 2.70-2.85, 5 Ag 2.78-2.86
Ag: 0.9354 0.9354 0.7018  7 Cu 2.70-2.85, 5 Ag 2.78-2.86
Ag: 0.2119 0.2119 0.8531  5 Cu 2.77-2.86, 7 Ag 2.78-2.86
Cu: 0.5000 0.5000 0.0000  10 Ag 2.77-2.86, 2 Cu 2.84
Cu: 0.3473 0.3473 0.4336  4 Cu 2.59-2.84, 7 Ag 2.70-2.78
Cu: 0.6527 0.6527 0.5664  4 Cu 2.59-2.84, 7 Ag 2.70-2.78